Record 1
TaPb2Au2 after structural relaxation, computed with GGA-PBE.

Computed properties:
The value obtained for the offset from the most stable computed form is 0 meV per atom.

extended XYZ file:
```
5
Lattice="-1.9429 1.9429 7.3154 1.9429 -1.9429 7.3154 1.9429 1.9429 -7.3154" Properties=species:S:1:pos:R:3 pbc="T T T"
Ta 0.0000 0.0000 0.0000
Pb 0.0000 0.0000 5.8504
Pb 0.0000 0.0000 8.7804
Au 1.9429 0.0000 3.6577
Au 0.0000 1.9429 3.6577
```

Record 2
LuGaAgAu after structural relaxation, computed with GGA-PBE.

Computed properties:
The value obtained for the offset from the most stable computed form is 83 meV per atom.

extended XYZ file:
```
4
Lattice="0.0000 3.3663 3.3663 3.3663 0.0000 3.3663 3.3663 3.3663 0.0000" Properties=species:S:1:pos:R:3 pbc="T T T"
Lu 0.0000 0.0000 0.0000
Ga 5.0494 5.0494 5.0494
Ag 1.6831 1.6831 1.6831
Au 3.3663 3.3663 3.3663
```

Record 3
SrDyPa after structural relaxation, computed with GGA-PBE.

Computed properties:
The value obtained for the offset from the most stable computed form is 0 meV per atom.

extended XYZ file:
```
3
Lattice="0.0000 3.8893 3.8893 3.8893 0.0000 3.8893 3.8893 3.8893 0.0000" Properties=species:S:1:pos:R:3 pbc="T T T"
Sr 0.0000 0.0000 0.0000
Dy 5.8340 5.8340 5.8340
Pa 3.8893 3.8893 3.8893
```

Record 4
Ag2HgGeTe2S2 after structural relaxation, computed with GGA-PBE.

Computed properties:
The value obtained for the offset from the most stable computed form is 15 meV per atom.

extended XYZ file:
```
8
Lattice="0.0000 4.4136 6.0021 4.2953 0.0000 6.0021 4.2953 4.4136 0.0000" Properties=species:S:1:pos:R:3 pbc="T T T"
Ag 2.1477 2.2068 0.0000
Ag 2.1477 2.2068 6.0021
Hg 4.2953 4.4136 3.2477
Ge 4.2953 4.4136 9.4774
Te 4.2953 2.3959 7.7938
Te 4.2953 6.4314 7.7938
S 6.7002 4.4136 4.7482
S 1.8905 4.4136 4.7482
```

Record 5
GaPd9 after structural relaxation, computed with GGA-PBE.

Computed properties:
The value obtained for the offset from the most stable computed form is 38 meV per atom.

extended XYZ file:
```
20
Lattice="2.8117 0.0000 0.0000 0.0000 2.8117 0.0000 0.0000 0.0000 51.7764" Properties=species:S:1:pos:R:3 pbc="T T T"
Ga 0.7029 0.7029 7.4159
Ga 2.1088 2.1088 44.3605
Pd 0.7029 0.7029 11.2308
Pd 0.7029 0.7029 15.1685
Pd 0.7029 0.7029 19.0728
Pd 0.7029 0.7029 22.9708
Pd 0.7029 0.7029 26.8596
Pd 0.7029 0.7029 30.7532
Pd 0.7029 0.7029 34.6567
Pd 0.7029 0.7029 38.5690
Pd 0.7029 0.7029 42.5935
Pd 2.1088 2.1088 9.1829
Pd 2.1088 2.1088 13.2074
Pd 2.1088 2.1088 17.1197
Pd 2.1088 2.1088 21.0232
Pd 2.1088 2.1088 24.9168
Pd 2.1088 2.1088 28.8056
Pd 2.1088 2.1088 32.7036
Pd 2.1088 2.1088 36.6079
Pd 2.1088 2.1088 40.5456
```

Record 6
LiSbPd2 after structural relaxation, computed with GGA-PBE.

Computed properties:
Its uncorrected energy is -4.527 eV per atom.

extended XYZ file:
```
4
Lattice="3.4001 0.0000 0.0000 0.0000 3.4001 0.0000 0.0000 0.0000 5.8293" Properties=species:S:1:pos:R:3 pbc="T T T"
Li 0.0000 0.0000 0.0000
Sb 0.0000 0.0000 2.9147
Pd 1.7000 1.7000 1.4216
Pd 1.7000 1.7000 4.4078
```

Record 7
LuCdInTe3 after structural relaxation, computed with GGA-PBE.

Computed properties:
The value obtained for the offset from the most stable computed form is 2 meV per atom.

extended XYZ file:
```
12
Lattice="2.2057 -7.6269 0.0000 2.2057 7.6269 0.0000 0.0000 0.0000 11.5505" Properties=species:S:1:pos:R:3 pbc="T T T"
Lu 0.0000 0.0000 0.0000
Lu 0.0000 0.0000 5.7753
Cd 2.2057 0.5829 8.6629
Cd 2.2057 -0.5829 2.8876
In 2.2057 3.9368 2.8876
In 2.2057 -3.9368 8.6629
Te 2.2057 6.3818 8.6629
Te 2.2057 2.0886 6.2965
Te 2.2057 2.0886 11.0292
Te 2.2057 -2.0886 0.5213
Te 2.2057 -2.0886 5.2540
Te 2.2057 -6.3818 2.8876
```

Record 8
PrGaSiPd2 after structural relaxation, computed with GGA-PBE.

Computed properties:
Its uncorrected energy is -5.601 eV per atom.

extended XYZ file:
```
10
Lattice="4.3011 0.0000 0.0000 0.0000 4.3011 0.0000 0.0000 0.0000 10.2050" Properties=species:S:1:pos:R:3 pbc="T T T"
Pr 1.0753 1.0753 2.5379
Pr 3.2258 3.2258 7.6671
Ga 1.0753 3.2258 5.1025
Ga 3.2258 1.0753 5.1025
Si 1.0753 1.0753 8.9320
Si 3.2258 3.2258 1.2731
Pd 1.0753 1.0753 6.5305
Pd 1.0753 3.2258 0.0000
Pd 3.2258 1.0753 0.0000
Pd 3.2258 3.2258 3.6745
```

Record 9
Li4SiPdO6 after structural relaxation, computed with GGA-PBE.

Computed properties:
Its uncorrected energy is -5.859 eV per atom.

extended XYZ file:
```
12
Lattice="2.4811 -4.2960 0.0000 2.4811 4.2960 0.0000 -1.6824 0.0000 4.6999" Properties=species:S:1:pos:R:3 pbc="T T T"
Li 0.0000 0.0000 0.0000
Li 2.4811 1.3790 0.0000
Li 2.4811 -1.5248 0.0000
Li 1.6399 -2.9128 2.3499
Si 1.6399 2.8180 2.3499
Pd 1.6399 -0.0499 2.3499
O 0.9341 1.5183 1.2865
O -0.0763 -0.2181 3.4088
O 0.6335 -1.4517 1.3155
O 2.3458 1.5183 3.4134
O 3.3562 -0.2181 1.2911
O 2.6464 -1.4517 3.3844
```

Record 10
Nd4C2I2Br3 after structural relaxation, computed with GGA-PBE.

Computed properties:
Its uncorrected energy is -5.387 eV per atom.

extended XYZ file:
```
11
Lattice="9.8815 -1.9914 0.0000 9.8815 1.9914 0.0000 -2.0083 0.0000 8.1913" Properties=species:S:1:pos:R:3 pbc="T T T"
Nd -0.5645 0.0000 2.4636
Nd 6.0067 0.0000 3.3440
Nd 11.7481 0.0000 4.8474
Nd 18.3192 0.0000 5.7277
C 8.2002 0.0000 3.9205
C 9.5546 0.0000 4.2709
I 1.4372 0.0000 7.2246
I 16.3176 0.0000 0.9668
Br 2.6469 0.0000 2.7352
Br 9.8815 0.0000 0.0000
Br 15.1078 0.0000 5.4562
```

Record 11
Ho2Pd2O5 after structural relaxation, computed with GGA-PBE.

Computed properties:
The value obtained for the offset from the most stable computed form is 78 meV per atom.

extended XYZ file:
```
9
Lattice="3.7814 0.0000 0.0000 0.0000 3.7814 0.0000 0.0000 0.0000 8.9055" Properties=species:S:1:pos:R:3 pbc="T T T"
Ho 0.0000 0.0000 2.1756
Ho 0.0000 0.0000 6.7299
Pd 1.8907 1.8907 0.0000
Pd 1.8907 1.8907 4.4527
O 0.0000 0.0000 0.0000
O 0.0000 1.8907 3.2176
O 0.0000 1.8907 5.6879
O 1.8907 0.0000 3.2176
O 1.8907 0.0000 5.6879
```

Record 12
Gd2TmGa3AgPd2 after structural relaxation, computed with GGA-PBE.

Computed properties:
Its uncorrected energy is -4.747 eV per atom.

extended XYZ file:
```
9
Lattice="3.7237 0.0000 0.0000 0.0000 6.5154 3.7783 0.0000 -6.5154 3.7783" Properties=species:S:1:pos:R:3 pbc="T T T"
Gd 0.0000 -3.8560 3.7783
Gd 0.0000 3.8560 3.7783
Tm 0.0000 0.0000 4.6251
Ga 1.8619 -1.7453 2.5726
Ga 1.8619 1.7453 2.5726
Ga 1.8619 0.0000 7.0518
Ag 0.0000 0.0000 1.5631
Pd 1.8619 -2.1326 5.3133
Pd 1.8619 2.1326 5.3133
```

Record 13
ScUCu after structural relaxation, computed with GGA-PBE.

Computed properties:
The value obtained for the offset from the most stable computed form is 0 meV per atom. The value obtained for the formation energy is 0.642 eV per atom.

extended XYZ file:
```
3
Lattice="0.0000 3.2120 3.2120 3.2120 0.0000 3.2120 3.2120 3.2120 0.0000" Properties=species:S:1:pos:R:3 pbc="T T T"
Sc 0.0000 0.0000 0.0000
U 3.2120 3.2120 3.2120
Cu 1.6060 1.6060 1.6060
```

Record 14
HfZrAu6 after structural relaxation, computed with GGA-PBE.

Computed properties:
The value obtained for the formation energy is -0.492 eV per atom.

extended XYZ file:
```
8
Lattice="4.8548 0.0000 0.0000 0.0000 6.1060 0.0000 0.0000 0.0000 4.9557" Properties=species:S:1:pos:R:3 pbc="T T T"
Hf 0.0000 0.0000 0.0000
Zr 2.4274 3.0530 3.3699
Au 0.0000 1.5261 2.5041
Au 0.0000 3.0530 0.0023
Au 0.0000 4.5799 2.5041
Au 2.4274 0.0000 3.3903
Au 2.4274 1.4978 0.8730
Au 2.4274 4.6083 0.8730
```

Record 15
SmHoPO after structural relaxation, computed with GGA-PBE.

Computed properties:
The value obtained for the offset from the most stable computed form is 86 meV per atom.

extended XYZ file:
```
8
Lattice="4.3448 0.0000 0.0000 0.0000 4.3448 0.0000 0.0000 0.0000 8.6942" Properties=species:S:1:pos:R:3 pbc="T T T"
Sm 1.0862 1.0862 0.9559
Sm 3.2586 3.2586 7.7383
Ho 1.0862 3.2586 4.3471
Ho 3.2586 1.0862 4.3471
P 1.0862 1.0862 6.0028
P 3.2586 3.2586 2.6913
O 1.0862 3.2586 0.0000
O 3.2586 1.0862 0.0000
```

Record 16
Tb5In4Ag after structural relaxation, computed with GGA-PBE.

Computed properties:
Its uncorrected energy is -4.139 eV per atom.

extended XYZ file:
```
10
Lattice="3.5915 0.0000 0.0000 0.0000 3.5915 0.0000 0.0000 0.0000 20.3896" Properties=species:S:1:pos:R:3 pbc="T T T"
Tb 0.0000 0.0000 0.0000
Tb 0.0000 0.0000 4.1780
Tb 0.0000 0.0000 8.3285
Tb 0.0000 0.0000 12.0611
Tb 0.0000 0.0000 16.2116
In 1.7958 1.7958 2.0913
In 1.7958 1.7958 6.2771
In 1.7958 1.7958 14.1125
In 1.7958 1.7958 18.2982
Ag 1.7958 1.7958 10.1948
```

Record 17
Y6Er2S after structural relaxation, computed with GGA-PBE.

Computed properties:
Its uncorrected energy is -6.171 eV per atom.

extended XYZ file:
```
9
Lattice="9.0170 0.0000 0.0000 -4.5085 7.8090 0.0000 0.0000 0.0000 3.7503" Properties=species:S:1:pos:R:3 pbc="T T T"
Y -1.0972 1.9004 0.0000
Y -2.7093 4.6927 1.8752
Y 2.1943 0.0000 0.0000
Y 1.7992 3.1163 1.8752
Y 5.4187 0.0000 1.8752
Y 3.4114 5.9086 0.0000
Er 0.0000 5.2060 0.0000
Er 4.5085 2.6030 0.0000
S 0.0000 0.0000 1.8752
```

Record 18
Mo2PdPt3 after structural relaxation, computed with GGA-PBE.

Computed properties:
The value obtained for the formation energy is -0.313 eV per atom.

extended XYZ file:
```
6
Lattice="2.7808 0.0000 0.0000 0.0000 3.9738 0.0000 0.0000 0.0000 8.3435" Properties=species:S:1:pos:R:3 pbc="T T T"
Mo 0.0000 0.0000 0.0000
Mo 1.3904 1.9869 4.1560
Pd 1.3904 1.9869 6.9511
Pt 0.0000 0.0000 2.7982
Pt 0.0000 0.0000 5.5458
Pt 1.3904 1.9869 1.3255
```

Record 19
LiTaSn after structural relaxation, computed with GGA-PBE.

Computed properties:
Its uncorrected energy is -5.143 eV per atom.

extended XYZ file:
```
3
Lattice="0.0000 3.2389 3.2389 3.2389 0.0000 3.2389 3.2389 3.2389 0.0000" Properties=species:S:1:pos:R:3 pbc="T T T"
Li 0.0000 0.0000 0.0000
Ta 1.6194 1.6194 1.6194
Sn 3.2389 3.2389 3.2389
```

Record 20
SmTmIn after structural relaxation, computed with GGA-PBE.

Computed properties:
The value obtained for the offset from the most stable computed form is 258 meV per atom.

extended XYZ file:
```
3
Lattice="0.0000 3.6742 3.6742 3.6742 0.0000 3.6742 3.6742 3.6742 0.0000" Properties=species:S:1:pos:R:3 pbc="T T T"
Sm 0.0000 0.0000 0.0000
Tm 3.6742 3.6742 3.6742
In 1.8371 1.8371 1.8371
```